Entry 1:
DFT (PBE-GGA) results for a relaxed structure of MnCo2Re.

Its polymorph energy (0 for the lowest one) is 0.28 eV per formula unit. The calculation puts the uncorrected energy at -71.00 eV per cell. The formation energy is 0.083 eV per atom. The space-group type is Cm (8). The crystal system is monoclinic.

a b c (Å): 8.393 2.571 4.455
angles (deg): 90.00 99.79 90.00
Positions (direct):
Mn 0.000 0.000 0.000
Mn 0.500 0.500 0.000
Co 0.006 0.500 0.527
Co 0.255 0.000 0.783
Co 0.506 0.000 0.527
Co 0.755 0.500 0.783
Re 0.255 0.500 0.287
Re 0.755 0.000 0.287

=====

Entry 2:
DFT (PBE-GGA) results for a relaxed structure of CsHf2GeC.

The calculation puts the uncorrected energy at -30.67 eV per cell. The formation energy is 0.787 eV per atom. The space-group type is P4/mmm (123). The crystal system is tetragonal.

a b c (Å): 4.542 4.542 5.937
angles (deg): 90.00 90.00 90.00
Positions (direct):
Cs 0.000 0.000 0.000
Hf 0.000 0.500 0.500
Hf 0.500 0.000 0.500
Ge 0.500 0.500 0.000
C 0.000 0.000 0.500

=====

Entry 3:
DFT (PBE-GGA) results for a relaxed structure of LaTi3Hg.

Its polymorph energy (0 for the lowest one) is 1.70 eV per formula unit. The calculation puts the uncorrected energy at -23.17 eV per cell. The formation energy is 1.148 eV per atom. The space-group type is Pm-3m (221). The crystal system is cubic.

a b c (Å): 4.785 4.785 4.785
angles (deg): 90.00 90.00 90.00
Positions (direct):
La 0.000 0.000 0.000
Ti 0.000 0.000 0.500
Ti 0.000 0.500 0.000
Ti 0.500 0.000 0.000
Hg 0.500 0.500 0.500

=====

Entry 4:
DFT (PBE-GGA) results for a relaxed structure of KMg2Tl2.

Its polymorph energy (0 for the lowest one) is 0.32 eV per formula unit. The calculation puts the uncorrected energy at -17.92 eV per cell. The formation energy is 0.012 eV per atom. The space-group type is P-1 (2). The crystal system is triclinic.

a b c (Å): 6.684 6.765 8.660
angles (deg): 80.95 67.82 64.75
Positions (direct):
K 0.123 0.249 0.257
K 0.877 0.751 0.743
Mg 0.265 0.758 0.959
Mg 0.476 0.749 0.548
Mg 0.524 0.251 0.452
Mg 0.735 0.242 0.041
Tl 0.171 0.163 0.750
Tl 0.431 0.657 0.243
Tl 0.569 0.343 0.757
Tl 0.829 0.837 0.250

=====

Entry 5:
DFT (PBE-GGA) results for a relaxed structure of ScCuHg.

Its polymorph energy (0 for the lowest one) is 0.14 eV per formula unit. The calculation puts the uncorrected energy at -22.85 eV per cell. The formation energy is -0.232 eV per atom. The space-group type is P2_1/m (11). The crystal system is monoclinic.

a b c (Å): 4.150 4.511 6.279
angles (deg): 90.00 109.29 90.00
Positions (direct):
Sc 0.105 0.250 0.209
Sc 0.895 0.750 0.791
Cu 0.243 0.750 0.489
Cu 0.757 0.250 0.511
Hg 0.404 0.250 0.807
Hg 0.596 0.750 0.193

=====

Entry 6:
DFT (PBE-GGA) results for a relaxed structure of TbLu2Bi.

Its polymorph energy (0 for the lowest one) is 0.00 eV per formula unit. The calculation puts the uncorrected energy at -18.74 eV per cell. The formation energy is -0.296 eV per atom. The space-group type is P4/mmm (123). The crystal system is tetragonal.

a b c (Å): 3.972 3.972 7.366
angles (deg): 90.00 90.00 90.00
Positions (direct):
Tb 0.000 0.000 0.000
Lu 0.500 0.500 0.268
Lu 0.500 0.500 0.732
Bi 0.000 0.000 0.500

=====

Entry 7:
DFT (PBE-GGA) results for a relaxed structure of Mo3PdPtN.

The calculation puts the uncorrected energy at -215.34 eV per cell. The space-group type is P2_13 (198). The crystal system is cubic. As for the uncorrected formation energy: -297 meV per atom.

a b c (Å): 6.889 6.889 6.889
angles (deg): 90.00 90.00 90.00
Positions (direct):
Mo 0.048 0.124 0.801
Mo 0.124 0.801 0.048
Mo 0.199 0.548 0.376
Mo 0.301 0.452 0.876
Mo 0.376 0.199 0.548
Mo 0.452 0.876 0.301
Mo 0.548 0.376 0.199
Mo 0.624 0.699 0.952
Mo 0.699 0.952 0.624
Mo 0.801 0.048 0.124
Mo 0.876 0.301 0.452
Mo 0.952 0.624 0.699
Pd 0.192 0.192 0.192
Pd 0.308 0.808 0.692
Pd 0.692 0.308 0.808
Pd 0.808 0.692 0.308
Pt 0.058 0.942 0.442
Pt 0.442 0.058 0.942
Pt 0.558 0.558 0.558
Pt 0.942 0.442 0.058
N 0.125 0.375 0.625
N 0.375 0.625 0.125
N 0.625 0.125 0.375
N 0.875 0.875 0.875

=====

Entry 8:
DFT (PBE-GGA) results for a relaxed structure of PmSeF.

Its polymorph energy (0 for the lowest one) is 1.65 eV per formula unit. The calculation puts the uncorrected energy at -34.27 eV per cell. The space-group type is I4mm (107). The crystal system is tetragonal. As for the uncorrected formation energy: -2343 meV per atom.

a b c (Å): 3.581 3.581 9.327
angles (deg): 90.00 90.00 90.00
Positions (direct):
Pm 0.000 0.000 0.000
Pm 0.500 0.500 0.500
Se 0.000 0.000 0.324
Se 0.500 0.500 0.824
F 0.000 0.000 0.611
F 0.500 0.500 0.111

=====

Entry 9:
DFT (PBE-GGA) results for a relaxed structure of CaBi2Ir.

The calculation puts the uncorrected energy at -77.60 eV per cell. The formation energy is -0.194 eV per atom. The space-group type is I-42d (122). The crystal system is tetragonal.

a b c (Å): 8.642 8.642 6.041
angles (deg): 90.00 90.00 90.00
Positions (direct):
Ca 0.000 0.000 0.000
Ca 0.000 0.500 0.250
Ca 0.500 0.000 0.750
Ca 0.500 0.500 0.500
Bi 0.173 0.250 0.625
Bi 0.250 0.673 0.875
Bi 0.250 0.827 0.375
Bi 0.327 0.250 0.125
Bi 0.673 0.750 0.125
Bi 0.750 0.173 0.375
Bi 0.750 0.327 0.875
Bi 0.827 0.750 0.625
Ir 0.000 0.000 0.500
Ir 0.000 0.500 0.750
Ir 0.500 0.000 0.250
Ir 0.500 0.500 0.000

=====

Entry 10:
DFT (PBE-GGA) results for a relaxed structure of Pu2UCoN4.

The calculation puts the uncorrected energy at -176.65 eV per cell. The space-group type is Cmcm (63). The crystal system is orthorhombic. As for the uncorrected formation energy: -995 meV per atom.

a b c (Å): 5.786 5.786 11.467
angles (deg): 90.00 90.00 146.47
Positions (direct):
Pu 0.132 0.868 0.558
Pu 0.132 0.868 0.942
Pu 0.868 0.132 0.058
Pu 0.868 0.132 0.442
U 0.390 0.610 0.750
U 0.610 0.390 0.250
Co 0.346 0.654 0.250
Co 0.654 0.346 0.750
N 0.042 0.958 0.750
N 0.220 0.780 0.128
N 0.220 0.780 0.372
N 0.500 0.500 0.000
N 0.500 0.500 0.500
N 0.780 0.220 0.628
N 0.780 0.220 0.872
N 0.958 0.042 0.250

=====

Entry 11:
DFT (PBE-GGA) results for a relaxed structure of LaY2Tl.

Its polymorph energy (0 for the lowest one) is 0.27 eV per formula unit. The calculation puts the uncorrected energy at -20.74 eV per cell. The formation energy is -0.129 eV per atom. The space-group type is P2/m (10). The crystal system is monoclinic.

a b c (Å): 3.678 5.248 6.831
angles (deg): 90.00 104.95 90.00
Positions (direct):
La 0.000 0.000 0.000
Y 0.393 0.500 0.731
Y 0.607 0.500 0.269
Tl 0.000 0.000 0.500

=====

Entry 12:
DFT (PBE-GGA) results for a relaxed structure of LiPrO2.

The calculation puts the uncorrected energy at -110.41 eV per cell. The space-group type is P2_1/c (14). The crystal system is monoclinic. As for the uncorrected formation energy: -2748 meV per atom.

a b c (Å): 5.849 6.175 5.862
angles (deg): 90.00 102.42 90.00
Positions (direct):
Li 0.166 0.140 0.187
Li 0.166 0.360 0.687
Li 0.834 0.640 0.313
Li 0.834 0.860 0.813
Pr 0.298 0.571 0.197
Pr 0.298 0.929 0.697
Pr 0.702 0.071 0.303
Pr 0.702 0.429 0.803
O 0.073 0.633 0.798
O 0.073 0.867 0.298
O 0.411 0.239 0.984
O 0.411 0.261 0.484
O 0.589 0.739 0.516
O 0.589 0.761 0.016
O 0.927 0.133 0.702
O 0.927 0.367 0.202

=====

Entry 13:
DFT (PBE-GGA) results for a relaxed structure of B5C7.

Its polymorph energy (0 for the lowest one) is 1.10 eV per formula unit. The calculation puts the uncorrected energy at -93.76 eV per cell. The formation energy is 0.350 eV per atom. The space-group type is Cm (8). The crystal system is monoclinic.

a b c (Å): 4.452 4.452 8.125
angles (deg): 118.35 118.35 33.61
Positions (direct):
B 0.000 0.000 0.000
B 0.379 0.379 0.708
B 0.518 0.518 0.175
B 0.575 0.575 0.643
B 0.676 0.676 0.885
C 0.047 0.047 0.506
C 0.188 0.188 0.006
C 0.205 0.205 0.468
C 0.350 0.350 0.205
C 0.711 0.711 0.367
C 0.826 0.826 0.792
C 0.864 0.864 0.323

=====

Entry 14:
DFT (PBE-GGA) results for a relaxed structure of SmCdSnBi.

The calculation puts the uncorrected energy at -15.31 eV per cell. The formation energy is -0.448 eV per atom. The space-group type is Pmmm (47). The crystal system is orthorhombic.

a b c (Å): 4.463 4.893 5.004
angles (deg): 90.00 90.00 90.00
Positions (direct):
Sm 0.000 0.000 0.000
Cd 0.000 0.500 0.500
Sn 0.500 0.500 0.000
Bi 0.500 0.000 0.500

=====

Entry 15:
DFT (PBE-GGA) results for a relaxed structure of SiSb2C.

Its polymorph energy (0 for the lowest one) is 2.04 eV per formula unit. The calculation puts the uncorrected energy at -67.97 eV per cell. The space-group type is Fm-3m (225). The crystal system is cubic. As for the uncorrected formation energy: 1475 meV per atom.

a b c (Å): 6.647 6.647 6.647
angles (deg): 90.00 90.00 90.00
Positions (direct):
Si 0.000 0.000 0.000
Si 0.000 0.500 0.500
Si 0.500 0.000 0.500
Si 0.500 0.500 0.000
Sb 0.250 0.250 0.250
Sb 0.250 0.250 0.750
Sb 0.250 0.750 0.250
Sb 0.250 0.750 0.750
Sb 0.750 0.250 0.250
Sb 0.750 0.250 0.750
Sb 0.750 0.750 0.250
Sb 0.750 0.750 0.750
C 0.000 0.000 0.500
C 0.000 0.500 0.000
C 0.500 0.000 0.000
C 0.500 0.500 0.500

=====

Entry 16:
DFT (PBE-GGA) results for a relaxed structure of Si2TeP.

Its polymorph energy (0 for the lowest one) is 0.81 eV per formula unit. The calculation puts the uncorrected energy at -17.91 eV per cell. The space-group type is P4mm (99). The crystal system is tetragonal. As for the uncorrected formation energy: 373 meV per atom.

a b c (Å): 3.118 3.118 8.746
angles (deg): 90.00 90.00 90.00
Positions (direct):
Si 0.000 0.000 0.000
Si 0.500 0.500 0.169
Te 0.000 0.000 0.497
P 0.500 0.500 0.883

=====

Entry 17:
DFT (PBE-GGA) results for a relaxed structure of Ti2VCrTe.

The calculation puts the uncorrected energy at -32.17 eV per cell. The space-group type is P4/mmm (123). The crystal system is tetragonal. As for the uncorrected formation energy: 1100 meV per atom.

a b c (Å): 4.454 4.454 4.921
angles (deg): 90.00 90.00 90.00
Positions (direct):
Ti 0.000 0.500 0.000
Ti 0.500 0.000 0.000
V 0.000 0.000 0.000
Cr 0.500 0.500 0.500
Te 0.000 0.000 0.500

=====

Entry 18:
DFT (PBE-GGA) results for a relaxed structure of BaTe2F.

Its polymorph energy (0 for the lowest one) is 0.00 eV per formula unit. The calculation puts the uncorrected energy at -66.79 eV per cell. The space-group type is I-42d (122). The crystal system is tetragonal. As for the uncorrected formation energy: -1655 meV per atom.

a b c (Å): 4.305 4.305 26.312
angles (deg): 90.00 90.00 90.00
Positions (direct):
Ba 0.000 0.000 0.000
Ba 0.000 0.500 0.250
Ba 0.500 0.000 0.750
Ba 0.500 0.500 0.500
Te 0.249 0.250 0.625
Te 0.250 0.749 0.875
Te 0.250 0.751 0.375
Te 0.251 0.250 0.125
Te 0.749 0.750 0.125
Te 0.750 0.249 0.375
Te 0.750 0.251 0.875
Te 0.751 0.750 0.625
F 0.000 0.000 0.500
F 0.000 0.500 0.750
F 0.500 0.000 0.250
F 0.500 0.500 0.000

=====

Entry 19:
DFT (PBE-GGA) results for a relaxed structure of Tb12Pd6Au.

The calculation puts the uncorrected energy at -99.60 eV per cell. The formation energy is -0.506 eV per atom. The space-group type is R-3 (148). The crystal system is trigonal.

a b c (Å): 8.400 8.400 8.400
angles (deg): 101.70 101.70 101.70
Positions (direct):
Tb 0.058 0.673 0.924
Tb 0.076 0.942 0.327
Tb 0.173 0.414 0.568
Tb 0.327 0.076 0.942
Tb 0.414 0.568 0.173
Tb 0.432 0.827 0.586
Tb 0.568 0.173 0.414
Tb 0.586 0.432 0.827
Tb 0.673 0.924 0.058
Tb 0.827 0.586 0.432
Tb 0.924 0.058 0.673
Tb 0.942 0.327 0.076
Pd 0.140 0.620 0.315
Pd 0.315 0.140 0.620
Pd 0.380 0.685 0.860
Pd 0.620 0.315 0.140
Pd 0.685 0.860 0.380
Pd 0.860 0.380 0.685
Au 0.000 0.000 0.000

=====

Entry 20:
DFT (PBE-GGA) results for a relaxed structure of Ca4Cu5.

Its polymorph energy (0 for the lowest one) is 0.00 eV per formula unit. The calculation puts the uncorrected energy at -27.78 eV per cell. The formation energy is 0.078 eV per atom. The space-group type is I4/mmm (139). The crystal system is tetragonal.

a b c (Å): 7.655 7.655 7.655
angles (deg): 94.07 94.07 149.11
Positions (direct):
Ca 0.000 0.273 0.273
Ca 0.000 0.727 0.727
Ca 0.273 0.000 0.273
Ca 0.727 0.000 0.727
Cu 0.000 0.000 0.000
Cu 0.295 0.295 0.590
Cu 0.295 0.705 0.000
Cu 0.705 0.295 0.000
Cu 0.705 0.705 0.410

=====

Entry 21:
DFT (PBE-GGA) results for a relaxed structure of CaZr4Al.

The calculation puts the uncorrected energy at -38.14 eV per cell. The formation energy is 0.299 eV per atom. The space-group type is F-43m (216). The crystal system is cubic.

a b c (Å): 5.920 5.920 5.920
angles (deg): 60.00 60.00 60.00
Positions (direct):
Ca 0.000 0.000 0.000
Zr 0.122 0.626 0.626
Zr 0.626 0.122 0.626
Zr 0.626 0.626 0.122
Zr 0.626 0.626 0.626
Al 0.250 0.250 0.250

=====

Entry 22:
DFT (PBE-GGA) results for a relaxed structure of Al2SiAs.

Its polymorph energy (0 for the lowest one) is 0.93 eV per formula unit. The calculation puts the uncorrected energy at -66.55 eV per cell. The space-group type is Fm-3m (225). The crystal system is cubic. As for the uncorrected formation energy: 230 meV per atom.

a b c (Å): 6.464 6.464 6.464
angles (deg): 90.00 90.00 90.00
Positions (direct):
Al 0.250 0.250 0.250
Al 0.250 0.250 0.750
Al 0.250 0.750 0.250
Al 0.250 0.750 0.750
Al 0.750 0.250 0.250
Al 0.750 0.250 0.750
Al 0.750 0.750 0.250
Al 0.750 0.750 0.750
Si 0.000 0.000 0.000
Si 0.000 0.500 0.500
Si 0.500 0.000 0.500
Si 0.500 0.500 0.000
As 0.000 0.000 0.500
As 0.000 0.500 0.000
As 0.500 0.000 0.000
As 0.500 0.500 0.500

=====

Entry 23:
DFT (PBE-GGA) results for a relaxed structure of Dy2AlPd6.

The calculation puts the uncorrected energy at -49.69 eV per cell. The formation energy is -0.621 eV per atom. The space-group type is C2/m (12). The crystal system is monoclinic.

a b c (Å): 7.645 7.645 3.709
angles (deg): 103.97 103.97 58.71
Positions (direct):
Dy 0.150 0.150 0.151
Dy 0.850 0.850 0.849
Al 0.500 0.500 0.500
Pd 0.129 0.542 0.335
Pd 0.282 0.718 0.000
Pd 0.458 0.871 0.665
Pd 0.542 0.129 0.335
Pd 0.718 0.282 0.000
Pd 0.871 0.458 0.665

=====

Entry 24:
DFT (PBE-GGA) results for a relaxed structure of ZrIr2Se.

The calculation puts the uncorrected energy at -61.84 eV per cell. The space-group type is Amm2 (38). The crystal system is orthorhombic. As for the uncorrected formation energy: -292 meV per atom.

a b c (Å): 3.859 3.154 11.210
angles (deg): 90.00 90.00 90.00
Positions (direct):
Zr 0.000 0.000 0.000
Zr 0.000 0.500 0.500
Ir 0.000 0.000 0.246
Ir 0.000 0.500 0.746
Ir 0.500 0.000 0.643
Ir 0.500 0.500 0.143
Se 0.500 0.000 0.390
Se 0.500 0.500 0.890

=====

Entry 25:
DFT (PBE-GGA) results for a relaxed structure of As2SeIN.

Its polymorph energy (0 for the lowest one) is 0.00 eV per formula unit. The calculation puts the uncorrected energy at -17.63 eV per cell. The space-group type is P4/mmm (123). The crystal system is tetragonal. As for the uncorrected formation energy: 1005 meV per atom.

a b c (Å): 4.553 4.553 4.643
angles (deg): 90.00 90.00 90.00
Positions (direct):
As 0.000 0.500 0.000
As 0.500 0.000 0.000
Se 0.000 0.000 0.500
I 0.500 0.500 0.500
N 0.000 0.000 0.000

=====

So what do the calculations give for N(E_F)? Going down the list: 11.2; 5.5; 4.3; 5.2; 3.6; 4.5; 11.2; 1.7; 11.3; 31.0; 5.5; 0.0; 1.8; 1.5; 8.3; 1.4; 8.2; 2.8; 19.8; 5.0; 9.5; 6.3; 3.8; 6.7; 2.9 states/eV per cell.